# Cu2BMo PBE optimized geometry
data_Cu2BMo
_chemical_formula_sum 'Cu8 B4 Mo4'
_space_group_name_H-M_alt 'F -4 3 m'
_space_group_IT_number 216
_space_group_name_Hall 'F -4 2 3'
_cell_length_a 5.6835
_cell_length_b 5.6835
_cell_length_c 5.6835
_cell_angle_alpha 90.00
_cell_angle_beta 90.00
_cell_angle_gamma 90.00
loop_
_atom_site_label
_atom_site_type_symbol
_atom_site_fract_x
_atom_site_fract_y
_atom_site_fract_z
Cu1 Cu 0.0000 0.0000 0.0000
Cu2 Cu 0.2500 0.2500 0.2500
B1 B 0.2500 0.2500 0.7500
Mo1 Mo 0.0000 0.0000 0.5000
# - crystal system = cubic

***

# NbCuBMo PBE optimized geometry
data_NbCuBMo
_chemical_formula_sum 'Nb4 Cu4 B4 Mo4'
_space_group_name_H-M_alt 'F -4 3 m'
_space_group_IT_number 216
_space_group_name_Hall 'F -4 2 3'
_cell_length_a 6.0133
_cell_length_b 6.0133
_cell_length_c 6.0133
_cell_angle_alpha 90.00
_cell_angle_beta 90.00
_cell_angle_gamma 90.00
loop_
_atom_site_label
_atom_site_type_symbol
_atom_site_fract_x
_atom_site_fract_y
_atom_site_fract_z
Nb1 Nb 0.0000 0.0000 0.0000
Cu1 Cu 0.2500 0.2500 0.7500
B1 B 0.0000 0.0000 0.5000
Mo1 Mo 0.2500 0.2500 0.2500
# - crystal system = cubic

***

no.,calculated total energy (eV per cell)
1,-91.8
2,-113.7